No. 1
A relaxed Gd2US5 crystal, computed with PBE.

Lattice parameters (Å, degrees): 11.769 7.920 7.400 90.00 90.00 90.00
Space group Pnma (No. 62)
Asymmetric unit:
Gd (0.178, 0.001, 0.019) x8
U (0.009, 0.750, 0.573) x4
S (0.001, 0.250, 0.042) x4
S (0.099, 0.044, 0.661) x8
S (0.185, 0.750, 0.326) x4
S (0.217, 0.250, 0.300) x4

Computed properties:
magnetization	2.0	μB per formula unit
VASP energy	-55.75	eV per formula unit



No. 2
A relaxed Na3SrHo2Pb3 crystal, computed with PBE.

Lattice parameters (Å, degrees): 5.1793 5.1793 11.3541 90.00 90.00 120.00
Space group P-6m2 (No. 187)
Asymmetric unit:
Na (0.0000, 0.0000, 0.0000) x1
Na (0.3333, 0.6667, 0.3067) x2
Sr (0.6667, 0.3333, 0.5000) x1
Ho (0.6667, 0.3333, 0.1609) x2
Pb (0.0000, 0.0000, 0.3014) x2
Pb (0.3333, 0.6667, 0.0000) x1

Computed properties:
magnetization	0.0	μB per formula unit
VASP energy	-28.05	eV per formula unit



No. 3
A relaxed HfNiHgPb crystal, computed with PBE.

Lattice parameters (Å, degrees): 6.872 6.872 6.872 90.00 90.00 90.00
Space group F-43m (No. 216)
Asymmetric unit:
Hf (0.000, 0.000, 0.000) x4
Ni (0.250, 0.250, 0.750) x4
Hg (0.250, 0.250, 0.250) x4
Pb (0.000, 0.000, 0.500) x4

Computed properties:
magnetization	0.0	μB per formula unit
polymorph energy (0 for the lowest one)	0.000	eV/atom



No. 4
A relaxed LiCdAsO crystal, computed with PBE.

Lattice parameters (Å, degrees): 3.063 7.152 5.659 90.00 90.00 90.00
Space group Pmc2_1 (No. 26)
Asymmetric unit:
Li (0.000, 0.181, 0.000) x2
Cd (0.500, 0.150, 0.498) x2
As (0.500, 0.488, 0.934) x2
O (0.000, 0.003, 0.746) x2

Computed properties:
polymorph energy (0 for the lowest one)	0.003	eV/atom



No. 5
A relaxed SmGdB2Pt2N2 crystal, computed with PBE.

Lattice parameters (Å, degrees): 3.766 3.766 7.657 90.00 90.00 90.00
Space group P4mm (No. 99)
Asymmetric unit:
Sm (0.000, 0.000, 0.000) x1
Gd (0.500, 0.500, 0.674) x1
B (0.000, 0.000, 0.505) x1
B (0.500, 0.500, 0.167) x1
Pt (0.000, 0.500, 0.338) x2
N (0.000, 0.000, 0.693) x1
N (0.500, 0.500, 0.979) x1

Computed properties:
magnetization	0.0	μB per formula unit
VASP energy	-60.58	eV per formula unit



No. 6
A relaxed Zr5Cu crystal, computed with PBE.

Lattice parameters (Å, degrees): 5.3832 5.3832 5.0975 90.00 90.00 120.00
Space group P-62m (No. 189)
Asymmetric unit:
Zr (0.0000, 0.3169, 0.0000) x3
Zr (0.3333, 0.6667, 0.5000) x2
Cu (0.0000, 0.0000, 0.5000) x1

Computed properties:
magnetization	0.0	μB per formula unit
formation energy from the elements	85	meV/atom



No. 7
A relaxed HfCoSbMo crystal, computed with PBE.

Lattice parameters (Å, degrees): 6.423 6.423 6.423 90.00 90.00 90.00
Space group F-43m (No. 216)
Asymmetric unit:
Hf (0.000, 0.000, 0.000) x4
Co (0.250, 0.250, 0.750) x4
Sb (0.000, 0.000, 0.500) x4
Mo (0.250, 0.250, 0.250) x4

Computed properties:
magnetization	0.0	μB per formula unit
polymorph energy (0 for the lowest one)	0.000	eV/atom



No. 8
A relaxed MgScCuB crystal, computed with PBE.

Lattice parameters (Å, degrees): 6.048 6.048 6.048 90.00 90.00 90.00
Space group F-43m (No. 216)
Asymmetric unit:
Mg (0.000, 0.000, 0.000) x4
Sc (0.250, 0.250, 0.250) x4
Cu (0.250, 0.250, 0.750) x4
B (0.000, 0.000, 0.500) x4

Computed properties:
magnetization	0.0	μB per formula unit
polymorph energy (0 for the lowest one)	0.255	eV/atom



No. 9
A relaxed MgHgTeO crystal, computed with PBE.

Lattice parameters (Å, degrees): 5.132 5.132 7.616 90.00 90.00 90.00
Space group P4/nmm (No. 129, origin choice 2)
Asymmetric unit:
Mg (0.250, 0.750, 0.000) x2
Hg (0.250, 0.250, 0.286) x2
Te (0.250, 0.250, 0.830) x2
O (0.250, 0.250, 0.580) x2

Computed properties:
polymorph energy (0 for the lowest one)	0.835	eV/atom



No. 10
A relaxed KTh3I crystal, computed with PBE.

Lattice parameters (Å, degrees): 5.947 5.947 5.947 90.00 90.00 90.00
Space group Pm-3m (No. 221)
Asymmetric unit:
K (0.000, 0.000, 0.000) x1
Th (0.000, 0.500, 0.500) x3
I (0.500, 0.500, 0.500) x1

Computed properties:
magnetization	0.0	μB per formula unit
VASP energy	-21.55	eV per formula unit



No. 11
A relaxed SrHo2Al7Ag2 crystal, computed with PBE.

Lattice parameters (Å, degrees): 5.6091 5.6091 26.5238 90.00 90.00 120.00
Space group R-3m (No. 166, hexagonal axes)
Asymmetric unit:
Sr (0.0000, 0.0000, 0.0000) x3
Ho (0.0000, 0.0000, 0.1430) x6
Al (0.0000, 0.0000, 0.5000) x3
Al (0.0089, 0.5044, 0.9150) x18
Ag (0.0000, 0.0000, 0.3358) x6

Computed properties:
magnetization	0.0	μB per formula unit
VASP energy	-47.77	eV per formula unit



No. 12
A relaxed La2NdAs3 crystal, computed with PBE.

Lattice parameters (Å, degrees): 4.3361 4.3361 10.6255 90.00 90.00 120.00
Space group P-3m1 (No. 164)
Asymmetric unit:
La (0.3333, 0.6667, 0.3311) x2
Nd (0.0000, 0.0000, 0.0000) x1
As (0.0000, 0.0000, 0.5000) x1
As (0.3333, 0.6667, 0.8365) x2

Computed properties:
magnetization	0.0	μB per formula unit
VASP energy	-37.89	eV per formula unit



No. 13
A relaxed ErCdB4 crystal, computed with PBE.

Lattice parameters (Å, degrees): 3.190 5.387 7.999 90.00 90.00 90.00
Space group Immm (No. 71)
Asymmetric unit:
Er (0.000, 0.000, 0.000) x2
Cd (0.000, 0.000, 0.500) x2
B (0.000, 0.324, 0.261) x8

Computed properties:
magnetization	0.0	μB per formula unit
polymorph energy (0 for the lowest one)	0.000	eV/atom



No. 14
A relaxed LuSnAuSe3 crystal, computed with PBE.

Lattice parameters (Å, degrees): 4.024 13.633 10.523 90.00 90.00 90.00
Space group Cmcm (No. 63)
Asymmetric unit:
Lu (0.000, 0.000, 0.000) x4
Sn (0.000, 0.232, 0.250) x4
Au (0.000, 0.462, 0.750) x4
Se (0.000, 0.094, 0.750) x4
Se (0.000, 0.355, 0.547) x8

Computed properties:
magnetization	0.0	μB per formula unit
polymorph energy (0 for the lowest one)	0.027	eV/atom



No. 15
A relaxed LaHoSc crystal, computed with PBE.

Lattice parameters (Å, degrees): 7.507 7.507 7.507 90.00 90.00 90.00
Space group F-43m (No. 216)
Asymmetric unit:
La (0.000, 0.000, 0.000) x4
Ho (0.000, 0.000, 0.500) x4
Sc (0.250, 0.250, 0.750) x4

Computed properties:
magnetization	0.6	μB per formula unit
formation energy from the elements	667	meV/atom
polymorph energy (0 for the lowest one)	0.000	eV/atom



No. 16
A relaxed TmAl3 crystal, computed with PBE.

Lattice parameters (Å, degrees): 4.221 4.221 4.221 90.00 90.00 90.00
Space group Pm-3m (No. 221)
Asymmetric unit:
Tm (0.000, 0.000, 0.000) x1
Al (0.000, 0.500, 0.500) x3

Computed properties:
magnetization	0.0	μB per formula unit
VASP energy	-17.35	eV per formula unit



No. 17
A relaxed TaCoAg2 crystal, computed with PBE.

Lattice parameters (Å, degrees): 6.320 6.320 6.320 90.00 90.00 90.00
Space group F-43m (No. 216)
Asymmetric unit:
Ta (0.000, 0.000, 0.000) x4
Co (0.250, 0.250, 0.250) x4
Ag (0.000, 0.000, 0.500) x4
Ag (0.250, 0.250, 0.750) x4

Computed properties:
magnetization	1.2	μB per formula unit
formation energy from the elements	400	meV/atom



No. 18
A relaxed SbTeAu crystal, computed with PBE.

Lattice parameters (Å, degrees): 6.559 8.543 6.557 90.00 100.95 90.00
Space group P2_1/c (No. 14)
Asymmetric unit:
Sb (0.125, 0.116, 0.367) x4
Te (0.332, 0.611, 0.661) x4
Au (0.257, 0.014, 0.762) x4

Computed properties:
VASP energy	-10.84	eV per formula unit



No. 19
A relaxed CoSiHgIr crystal, computed with PBE.

Lattice parameters (Å, degrees): 6.168 6.168 6.168 90.00 90.00 90.00
Space group F-43m (No. 216)
Asymmetric unit:
Co (0.000, 0.000, 0.000) x4
Si (0.250, 0.250, 0.750) x4
Hg (0.250, 0.250, 0.250) x4
Ir (0.000, 0.000, 0.500) x4

Computed properties:
magnetization	0.7	μB per formula unit
polymorph energy (0 for the lowest one)	0.000	eV/atom



No. 20
A relaxed RbAg2BO3 crystal, computed with PBE.

Lattice parameters (Å, degrees): 5.606 6.373 5.801 90.00 90.00 90.00
Space group Pmmn (No. 59, origin choice 2)
Asymmetric unit:
Rb (0.250, 0.250, 0.118) x2
Ag (0.250, 0.524, 0.636) x4
B (0.250, 0.750, 0.205) x2
O (0.036, 0.750, 0.333) x4
O (0.250, 0.750, 0.970) x2

Computed properties:
polymorph energy (0 for the lowest one)	0.000	eV/atom